1.
Compound: MnIn2W
Source: the Alexandria database
Functional: meta-GGA SCAN
Structure: single point on PBEsol structure

Space-group type: Cmmm, No. 65
Uncorrected energy (eV per atom): -38.344
Theoretical density (g cm⁻³): 11.24
V (Å³/atom): 17.3
ΔE_f (eV per atom): 0.34
ΔE to the lowest computed polymorph (meV/atom): 0
N(E_F) (states/eV/f.u.): 2.0

a b c (Å): 2.8686 5.0624 5.0624
angles (deg): 109.76 90.00 90.00
Last column: nearest neighbours and their distance in Å.
Fractional coordinates of all 4 atoms:
In (0.0000, 0.5000, 0.0000)  4 In 2.87-2.91, 4 W 2.91, 4 Mn 2.91
In (0.0000, 0.0000, 0.5000)  4 In 2.87-2.91, 4 Mn 2.91, 4 W 2.91
Mn (0.5000, 0.5000, 0.5000)  2 Mn 2.87, 8 In 2.91, 2 W 2.91
W (0.5000, 0.0000, 0.0000)  2 W 2.87, 8 In 2.91, 2 Mn 2.91


2.
Compound: CdBr
Source: the Alexandria database
Functional: meta-GGA SCAN
Structure: single point on PBEsol structure

Space-group type: Fd-3m, No. 227
Uncorrected energy (eV per atom): -24.962
Theoretical density (g cm⁻³): 6.46
V (Å³/atom): 24.7
N(E_F) (states/eV/f.u.): 1.1

a b c (Å): 5.1893 5.1893 5.1893
angles (deg): 60.00 60.00 60.00
Last column: nearest neighbours and their distance in Å.
Fractional coordinates of all 4 atoms:
Br (0.5000, 0.5000, 0.5000)  4 Cd 3.18, 4 Br 3.18
Br (0.7500, 0.7500, 0.7500)  4 Cd 3.18, 4 Br 3.18
Cd (0.0000, 0.0000, 0.0000)  4 Cd 3.18, 4 Br 3.18
Cd (0.2500, 0.2500, 0.2500)  4 Br 3.18, 4 Cd 3.18